An optimized crystal structure of Ba3LiV2O8, computed with PBE+U.

abc: 5.8303 5.8303 7.5743
angles: 90.00 90.00 120.00
Last column: nearest neighbours and their distance in Å.
Fractional positions:
1 Ba 0.0000 0.0000 0.0000  6 O 2.91
2 Ba 0.3333 0.6667 0.6472  1 O 2.54
3 Ba 0.6667 0.3333 0.3528  1 O 2.54
4 Li 0.0000 0.0000 0.5000  6 O 2.25
5 V 0.3333 0.6667 0.2143  4 O 1.75-1.79
6 V 0.6667 0.3333 0.7857  4 O 1.75-1.79
7 O 0.1713 0.3427 0.3094  1 V 1.79
8 O 0.1713 0.8287 0.3094  1 V 1.79
9 O 0.3333 0.6667 0.9831  1 V 1.75
10 O 0.3427 0.1713 0.6906  1 V 1.79
11 O 0.6573 0.8287 0.3094  1 V 1.79
12 O 0.6667 0.3333 0.0169  1 V 1.75
13 O 0.8287 0.1713 0.6906  1 V 1.79
14 O 0.8287 0.6573 0.6906  1 V 1.79

Final energy in eV for the cell shown: -96.00
Crystal system: trigonal